Record 1
# Hf2GeH

A relaxed Hf2GeH crystal (PBE, the Alexandria database).

Lattice parameters (Å, degrees): 7.107 7.107 7.107 29.98 29.98 29.98
Atoms (fractional coordinates):
Hf  0.089  0.089  0.089
Hf  0.911  0.911  0.911
Ge  0.500  0.500  0.500
H  0.000  0.000  0.000

DOS(E_F), states/eV per cell: 2.90
Spin magnetization, μB/cell: 0.00
Energy, eV for the cell shown: -27.8
Crystal system: trigonal
Distance to the lowest polymorph of the same formula, meV/atom: 457

Record 2
# Hf2Ge2H

A relaxed Hf2Ge2H crystal (PBE, the Alexandria database).

Lattice parameters (Å, degrees): 6.489 6.489 4.029 90.00 90.00 90.00
Atoms (fractional coordinates):
Hf  0.179  0.321  0.000
Hf  0.321  0.821  0.000
Hf  0.679  0.179  0.000
Hf  0.821  0.679  0.000
Ge  0.134  0.634  0.500
Ge  0.366  0.134  0.500
Ge  0.634  0.866  0.500
Ge  0.866  0.366  0.500
H  0.000  0.000  0.000
H  0.500  0.500  0.000

DOS(E_F), states/eV per cell: 3.02
Spin magnetization, μB/cell: 0.00
Energy, eV for the cell shown: -68.2
Crystal system: tetragonal
Distance to the lowest polymorph of the same formula, meV/atom: 66

Record 3
# Hf4Ge2H

A relaxed Hf4Ge2H crystal (PBE, the Alexandria database).

Lattice parameters (Å, degrees): 8.049 8.049 8.049 151.29 151.29 41.05
Atoms (fractional coordinates):
Hf  0.000  0.500  0.500
Hf  0.180  0.180  0.000
Hf  0.500  0.000  0.500
Hf  0.820  0.820  0.000
Ge  0.363  0.363  0.000
Ge  0.637  0.637  0.000
H  0.000  0.000  0.000

DOS(E_F), states/eV per cell: 3.03
Spin magnetization, μB/cell: 0.00
Energy, eV for the cell shown: -56.0
Crystal system: tetragonal
Distance to the lowest polymorph of the same formula, meV/atom: 0

Record 4
# Hf2Ge2H

A relaxed Hf2Ge2H crystal (PBE, the Alexandria database).

Lattice parameters (Å, degrees): 6.556 6.556 3.981 90.00 90.00 90.00
Atoms (fractional coordinates):
Hf  0.178  0.322  0.000
Hf  0.322  0.822  0.000
Hf  0.678  0.178  0.000
Hf  0.822  0.678  0.000
Ge  0.133  0.633  0.500
Ge  0.367  0.133  0.500
Ge  0.633  0.867  0.500
Ge  0.867  0.367  0.500
H  0.000  0.000  0.500
H  0.500  0.500  0.500

DOS(E_F), states/eV per cell: 4.18
Spin magnetization, μB/cell: 0.00
Energy, eV for the cell shown: -64.0
Crystal system: tetragonal
Distance to the lowest polymorph of the same formula, meV/atom: 490

Record 5
# Hf2GeH2

A relaxed Hf2GeH2 crystal (PBE, the Alexandria database).

Lattice parameters (Å, degrees): 4.927 4.927 4.927 130.09 130.09 73.27
Atoms (fractional coordinates):
Hf  0.250  0.750  0.500
Hf  0.750  0.250  0.500
Ge  0.000  0.000  0.000
H  0.336  0.336  0.000
H  0.664  0.664  0.000

DOS(E_F), states/eV per cell: 1.78
Spin magnetization, μB/cell: 0.00
Energy, eV for the cell shown: -32.6
Crystal system: tetragonal
Distance to the lowest polymorph of the same formula, meV/atom: 124

Record 6
# HfGeH2

A relaxed HfGeH2 crystal (PBE, the Alexandria database).

Lattice parameters (Å, degrees): 6.764 6.764 6.764 146.23 146.23 48.51
Atoms (fractional coordinates):
Hf  0.000  0.000  0.000
Hf  0.750  0.250  0.500
Ge  0.250  0.750  0.500
Ge  0.500  0.500  0.000
H  0.032  0.625  0.907
H  0.375  0.282  0.407
H  0.718  0.125  0.093
H  0.875  0.968  0.593

DOS(E_F), states/eV per cell: 0.00
Spin magnetization, μB/cell: 0.00
Energy, eV for the cell shown: -43.6
Crystal system: tetragonal
Distance to the lowest polymorph of the same formula, meV/atom: 0